1.
A plane-wave DFT calculation with PBE-GGA was carried out for Cs2CeI4Br2 after structural relaxation.

Cell lengths 8.289, 8.289, 7.091 Å; angles 95.89, 95.89, 61.65 degrees
Sites, in units of the cell vectors:
Cs 0.163 0.163 0.278
Cs 0.837 0.837 0.722
Ce 0.500 0.500 0.000
I 0.149 0.659 0.211
I 0.341 0.851 0.789
I 0.659 0.149 0.211
I 0.851 0.341 0.789
Br 0.347 0.347 0.718
Br 0.653 0.653 0.282

Calculated values
Crystal system = monoclinic
Spin magnetization = 0.00 μB/cell
VASP energy = -3.40 eV per atom

---

2.
A plane-wave DFT calculation with PBE-GGA was carried out for Cs3CeIn2Br9 after structural relaxation.

Cell lengths 8.474, 8.474, 10.435 Å; angles 90.00, 90.00, 120.00 degrees
Sites, in units of the cell vectors:
Cs 0.000 0.000 0.000
Cs 0.333 0.667 0.699
Cs 0.667 0.333 0.301
Ce 0.000 0.000 0.500
In 0.333 0.667 0.156
In 0.667 0.333 0.844
Br 0.000 0.500 0.000
Br 0.158 0.316 0.341
Br 0.158 0.842 0.341
Br 0.316 0.158 0.659
Br 0.500 0.000 0.000
Br 0.500 0.500 0.000
Br 0.684 0.842 0.341
Br 0.842 0.158 0.659
Br 0.842 0.684 0.659

Calculated values
Crystal system = trigonal
Spin magnetization = 0.60 μB/cell
VASP energy = -3.40 eV per atom

---

3.
A plane-wave DFT calculation with PBE-GGA was carried out for CsCeInBr6 after structural relaxation.

Cell lengths 7.630, 7.630, 14.304 Å; angles 90.00, 90.00, 90.00 degrees
Sites, in units of the cell vectors:
Cs 0.000 0.000 0.000
Cs 0.500 0.500 0.500
Ce 0.000 0.000 0.661
Ce 0.500 0.500 0.161
In 0.000 0.000 0.332
In 0.500 0.500 0.832
Br 0.170 0.170 0.509
Br 0.195 0.195 0.792
Br 0.241 0.241 0.175
Br 0.259 0.741 0.675
Br 0.305 0.695 0.292
Br 0.330 0.670 0.009
Br 0.670 0.330 0.009
Br 0.695 0.305 0.292
Br 0.741 0.259 0.675
Br 0.759 0.759 0.175
Br 0.805 0.805 0.792
Br 0.830 0.830 0.509

Calculated values
Crystal system = tetragonal
Spin magnetization = 0.00 μB/cell
VASP energy = -3.63 eV per atom

---

4.
A plane-wave DFT calculation with PBE-GGA was carried out for Cs4CeIn3Br12 after structural relaxation.

Cell lengths 10.235, 10.235, 10.235 Å; angles 109.47, 109.47, 109.47 degrees
Sites, in units of the cell vectors:
Cs 0.000 0.000 0.500
Cs 0.000 0.500 0.000
Cs 0.500 0.000 0.000
Cs 0.500 0.500 0.500
Ce 0.000 0.000 0.000
In 0.000 0.500 0.500
In 0.500 0.000 0.500
In 0.500 0.500 0.000
Br 0.000 0.242 0.242
Br 0.000 0.758 0.758
Br 0.242 0.000 0.242
Br 0.242 0.242 0.000
Br 0.250 0.500 0.750
Br 0.250 0.750 0.500
Br 0.500 0.250 0.750
Br 0.500 0.750 0.250
Br 0.750 0.250 0.500
Br 0.750 0.500 0.250
Br 0.758 0.000 0.758
Br 0.758 0.758 0.000

Calculated values
Crystal system = cubic
Spin magnetization = 0.85 μB/cell
VASP energy = -3.27 eV per atom

---

5.
A plane-wave DFT calculation with PBE-GGA was carried out for Cs2KCeBr8 after structural relaxation.

Cell lengths 7.252, 7.984, 9.827 Å; angles 89.55, 89.25, 89.72 degrees
Sites, in units of the cell vectors:
Cs 0.004 0.000 0.238
Cs 0.996 0.000 0.762
K 0.500 0.500 0.500
Ce 0.500 0.500 0.000
Br 0.261 0.396 0.213
Br 0.264 0.390 0.794
Br 0.324 0.812 0.996
Br 0.341 0.896 0.500
Br 0.659 0.104 0.500
Br 0.676 0.188 0.004
Br 0.736 0.610 0.206
Br 0.739 0.604 0.787

Calculated values
Crystal system = triclinic
Spin magnetization = 0.98 μB/cell
VASP energy = -3.37 eV per atom

---

6.
A plane-wave DFT calculation with PBE-GGA was carried out for CsK2CeBr8 after structural relaxation.

Cell lengths 6.182, 7.909, 10.585 Å; angles 89.95, 89.54, 89.96 degrees
Sites, in units of the cell vectors:
Cs 0.000 0.000 0.000
K 0.496 0.500 0.278
K 0.504 0.500 0.722
Ce 0.000 0.000 0.500
Br 0.227 0.693 0.503
Br 0.244 0.506 0.000
Br 0.245 0.137 0.697
Br 0.250 0.132 0.301
Br 0.750 0.868 0.699
Br 0.755 0.863 0.303
Br 0.756 0.494 0.000
Br 0.773 0.307 0.497

Calculated values
Crystal system = triclinic
Spin magnetization = 0.00 μB/cell
VASP energy = -3.39 eV per atom

---

7.
A plane-wave DFT calculation with PBE-GGA was carried out for Cs2KCeBr6 after structural relaxation.

Cell lengths 8.587, 8.587, 8.587 Å; angles 60.00, 60.00, 60.00 degrees
Sites, in units of the cell vectors:
Cs 0.250 0.250 0.250
Cs 0.750 0.750 0.750
K 0.000 0.000 0.000
Ce 0.500 0.500 0.500
Br 0.261 0.261 0.739
Br 0.261 0.739 0.261
Br 0.261 0.739 0.739
Br 0.739 0.261 0.261
Br 0.739 0.261 0.739
Br 0.739 0.739 0.261

Calculated values
Crystal system = cubic
Spin magnetization = 1.00 μB/cell
VASP energy = -3.69 eV per atom

---

8.
A plane-wave DFT calculation with PBE-GGA was carried out for CsLiCeBr6 after structural relaxation.

Cell lengths 7.261, 7.261, 16.359 Å; angles 90.00, 90.00, 120.00 degrees
Sites, in units of the cell vectors:
Cs 0.000 0.000 0.000
Cs 0.000 0.000 0.500
Li 0.333 0.667 0.250
Li 0.667 0.333 0.750
Ce 0.333 0.667 0.750
Ce 0.667 0.333 0.250
Br 0.001 0.374 0.151
Br 0.001 0.627 0.349
Br 0.373 0.374 0.349
Br 0.373 0.999 0.151
Br 0.374 0.001 0.651
Br 0.374 0.373 0.849
Br 0.626 0.627 0.151
Br 0.626 0.999 0.349
Br 0.627 0.001 0.849
Br 0.627 0.626 0.651
Br 0.999 0.373 0.651
Br 0.999 0.626 0.849

Calculated values
Crystal system = trigonal
Spin magnetization = 0.00 μB/cell
VASP energy = -3.73 eV per atom

---

9.
A plane-wave DFT calculation with PBE-GGA was carried out for Cs2LiCeBr6 after structural relaxation.

Cell lengths 8.047, 8.047, 8.047 Å; angles 60.00, 60.00, 60.00 degrees
Sites, in units of the cell vectors:
Cs 0.250 0.250 0.250
Cs 0.750 0.750 0.750
Li 0.000 0.000 0.000
Ce 0.500 0.500 0.500
Br 0.245 0.245 0.755
Br 0.245 0.755 0.245
Br 0.245 0.755 0.755
Br 0.755 0.245 0.245
Br 0.755 0.245 0.755
Br 0.755 0.755 0.245

Calculated values
Crystal system = cubic
Spin magnetization = 1.00 μB/cell
VASP energy = -3.74 eV per atom

---

10.
A plane-wave DFT calculation with PBE-GGA was carried out for Cs2Li2CeBr6 after structural relaxation.

Cell lengths 7.784, 7.784, 9.237 Å; angles 112.63, 112.63, 60.08 degrees
Sites, in units of the cell vectors:
Cs 0.203 0.203 0.179
Cs 0.797 0.797 0.821
Li 0.443 0.443 0.672
Li 0.557 0.557 0.328
Ce 0.000 0.000 0.500
Br 0.190 0.717 0.212
Br 0.242 0.242 0.602
Br 0.283 0.810 0.788
Br 0.717 0.190 0.212
Br 0.758 0.758 0.398
Br 0.810 0.283 0.788

Calculated values
Crystal system = monoclinic
Spin magnetization = 1.99 μB/cell
VASP energy = -3.53 eV per atom

---

11.
A plane-wave DFT calculation with PBE-GGA was carried out for Cs3Li2CeBr9 after structural relaxation.

Cell lengths 7.980, 7.980, 9.996 Å; angles 90.00, 90.00, 120.00 degrees
Sites, in units of the cell vectors:
Cs 0.000 0.000 0.000
Cs 0.333 0.667 0.697
Cs 0.667 0.333 0.303
Li 0.333 0.667 0.099
Li 0.667 0.333 0.901
Ce 0.000 0.000 0.500
Br 0.000 0.500 0.000
Br 0.165 0.331 0.339
Br 0.165 0.835 0.339
Br 0.331 0.165 0.661
Br 0.500 0.000 0.000
Br 0.500 0.500 0.000
Br 0.669 0.835 0.339
Br 0.835 0.165 0.661
Br 0.835 0.669 0.661

Calculated values
Crystal system = trigonal
Spin magnetization = 0.00 μB/cell
VASP energy = -3.51 eV per atom

---

12.
A plane-wave DFT calculation with PBE-GGA was carried out for CsLiCeBr5 after structural relaxation.

Cell lengths 8.226, 8.226, 11.047 Å; angles 103.82, 103.82, 106.59 degrees
Sites, in units of the cell vectors:
Cs 0.154 0.846 0.750
Cs 0.846 0.154 0.250
Li 0.193 0.807 0.250
Li 0.807 0.193 0.750
Ce 0.500 0.500 0.000
Ce 0.500 0.500 0.500
Br 0.124 0.267 0.919
Br 0.197 0.602 0.394
Br 0.267 0.124 0.419
Br 0.398 0.803 0.106
Br 0.426 0.574 0.750
Br 0.574 0.426 0.250
Br 0.602 0.197 0.894
Br 0.733 0.876 0.581
Br 0.803 0.398 0.606
Br 0.876 0.733 0.081

Calculated values
Crystal system = monoclinic
Spin magnetization = 2.00 μB/cell
VASP energy = -3.88 eV per atom

---

13.
A plane-wave DFT calculation with PBE-GGA was carried out for Cs2CeMgBr6 after structural relaxation.

Cell lengths 8.219, 11.616, 8.215 Å; angles 90.00, 90.00, 90.00 degrees
Sites, in units of the cell vectors:
Cs 0.250 0.001 0.250
Cs 0.250 0.499 0.250
Cs 0.750 0.501 0.750
Cs 0.750 0.999 0.750
Ce 0.250 0.750 0.750
Ce 0.750 0.250 0.250
Mg 0.250 0.250 0.750
Mg 0.750 0.750 0.250
Br 0.006 0.250 0.506
Br 0.006 0.250 0.994
Br 0.250 0.006 0.750
Br 0.250 0.494 0.750
Br 0.494 0.250 0.506
Br 0.494 0.250 0.994
Br 0.506 0.750 0.006
Br 0.506 0.750 0.494
Br 0.750 0.506 0.250
Br 0.750 0.994 0.250
Br 0.994 0.750 0.006
Br 0.994 0.750 0.494

Calculated values
Crystal system = orthorhombic
Spin magnetization = 3.77 μB/cell
VASP energy = -3.53 eV per atom

---

14.
A plane-wave DFT calculation with PBE-GGA was carried out for CsCeMg2Br8 after structural relaxation.

Cell lengths 7.073, 7.248, 10.088 Å; angles 72.38, 74.66, 73.12 degrees
Sites, in units of the cell vectors:
Cs 0.000 0.000 0.000
Ce 0.000 0.000 0.500
Mg 0.462 0.453 0.207
Mg 0.538 0.547 0.793
Br 0.179 0.700 0.736
Br 0.263 0.778 0.294
Br 0.286 0.240 0.447
Br 0.392 0.294 0.035
Br 0.608 0.706 0.965
Br 0.714 0.760 0.553
Br 0.737 0.222 0.706
Br 0.821 0.300 0.264

Calculated values
Crystal system = triclinic
Spin magnetization = 1.00 μB/cell
VASP energy = -3.54 eV per atom

---

15.
A plane-wave DFT calculation with PBE-GGA was carried out for CsCeMgBr6 after structural relaxation.

Cell lengths 10.344, 10.344, 10.344 Å; angles 122.27, 118.31, 89.53 degrees
Sites, in units of the cell vectors:
Cs 0.289 0.039 0.250
Cs 0.711 0.961 0.750
Ce 0.000 0.500 0.500
Ce 0.500 0.500 0.000
Mg 0.000 0.000 0.500
Mg 0.000 0.500 0.000
Br 0.045 0.795 0.250
Br 0.055 0.398 0.213
Br 0.055 0.842 0.657
Br 0.315 0.158 0.713
Br 0.315 0.602 0.157
Br 0.339 0.589 0.750
Br 0.661 0.411 0.250
Br 0.685 0.398 0.843
Br 0.685 0.842 0.287
Br 0.945 0.158 0.343
Br 0.945 0.602 0.787
Br 0.955 0.205 0.750

Calculated values
Crystal system = orthorhombic
Spin magnetization = 2.00 μB/cell
VASP energy = -3.70 eV per atom

---

16.
A plane-wave DFT calculation with PBE-GGA was carried out for Cs2CeMg3Br12 after structural relaxation.

Cell lengths 10.370, 10.370, 10.370 Å; angles 56.28, 56.28, 56.28 degrees
Sites, in units of the cell vectors:
Cs 0.088 0.088 0.088
Cs 0.912 0.912 0.912
Ce 0.500 0.500 0.500
Mg 0.000 0.500 0.500
Mg 0.500 0.000 0.500
Mg 0.500 0.500 0.000
Br 0.165 0.578 0.578
Br 0.180 0.180 0.581
Br 0.180 0.581 0.180
Br 0.419 0.820 0.820
Br 0.422 0.422 0.835
Br 0.422 0.835 0.422
Br 0.578 0.165 0.578
Br 0.578 0.578 0.165
Br 0.581 0.180 0.180
Br 0.820 0.419 0.820
Br 0.820 0.820 0.419
Br 0.835 0.422 0.422

Calculated values
Crystal system = trigonal
Spin magnetization = 0.00 μB/cell
VASP energy = -3.34 eV per atom

---

17.
A plane-wave DFT calculation with PBE-GGA was carried out for CsNa2CeBr6 after structural relaxation.

Cell lengths 8.411, 8.411, 8.411 Å; angles 55.26, 55.26, 55.26 degrees
Sites, in units of the cell vectors:
Cs 0.000 0.000 0.000
Na 0.273 0.273 0.273
Na 0.790 0.790 0.790
Ce 0.468 0.468 0.468
Br 0.059 0.597 0.473
Br 0.205 0.536 0.865
Br 0.473 0.059 0.597
Br 0.536 0.865 0.205
Br 0.597 0.473 0.059
Br 0.865 0.205 0.536

Calculated values
Crystal system = trigonal
Spin magnetization = 1.00 μB/cell
VASP energy = -3.66 eV per atom

---

18.
A plane-wave DFT calculation with PBE-GGA was carried out for Cs3Na2CeBr9 after structural relaxation.

Cell lengths 8.222, 8.222, 10.181 Å; angles 90.00, 90.00, 120.00 degrees
Sites, in units of the cell vectors:
Cs 0.000 0.000 0.000
Cs 0.333 0.667 0.728
Cs 0.667 0.333 0.272
Na 0.333 0.667 0.149
Na 0.667 0.333 0.851
Ce 0.000 0.000 0.500
Br 0.000 0.500 0.000
Br 0.160 0.321 0.342
Br 0.160 0.840 0.342
Br 0.321 0.160 0.658
Br 0.500 0.000 0.000
Br 0.500 0.500 0.000
Br 0.679 0.840 0.342
Br 0.840 0.160 0.658
Br 0.840 0.679 0.658

Calculated values
Crystal system = trigonal
Spin magnetization = 0.09 μB/cell
VASP energy = -3.42 eV per atom

---

19.
A plane-wave DFT calculation with PBE-GGA was carried out for CsNaCe2Br8 after structural relaxation.

Cell lengths 7.692, 7.692, 8.990 Å; angles 90.00, 90.00, 120.00 degrees
Sites, in units of the cell vectors:
Cs 0.000 0.000 0.000
Na 0.000 0.000 0.500
Ce 0.333 0.667 0.410
Ce 0.667 0.333 0.590
Br 0.064 0.366 0.653
Br 0.302 0.936 0.653
Br 0.333 0.667 0.098
Br 0.366 0.302 0.347
Br 0.634 0.698 0.653
Br 0.667 0.333 0.902
Br 0.698 0.064 0.347
Br 0.936 0.634 0.347

Calculated values
Crystal system = trigonal
Spin magnetization = 2.00 μB/cell
VASP energy = -4.04 eV per atom